No. 1
# ReIrOF2

A geometry-optimized ReIrOF2 structure (PBE-GGA, the Alexandria database).

Properties
Distance to the lowest polymorph of the same formula = 0 meV per atom

```
ReIrOF2
1.0
4.264 0.000 0.000
0.000 4.264 0.000
0.000 0.000 3.765
Re Ir O F
1 1 1 2
Direct
0.000 0.000 0.000
0.500 0.500 0.500
0.000 0.000 0.500
0.000 0.500 0.000
0.500 0.000 0.000
```

***

No. 2
# LiHfZnCu

A geometry-optimized LiHfZnCu structure (PBE-GGA, the Alexandria database).

Properties
ΔH_f (0 K) = -0.072 eV per atom

```
LiHfZnCu
1.0
-4.403 -0.453 -0.504
-1.767 -4.043 -0.617
-2.428 -1.886 3.224
Zn Hf Cu Li
1 1 1 1
Direct
0.000 0.000 0.000
0.750 0.750 0.750
0.500 0.500 0.500
0.250 0.250 0.250
```

***

No. 3
# Mn4VGa

A geometry-optimized Mn4VGa structure (PBE-GGA, the Alexandria database).

Properties
ΔH_f (0 K) = -0.033 eV per atom
Distance to the lowest polymorph of the same formula = 67 meV per atom

```
Mn4VGa
1.0
-0.391 -1.752 4.325
1.946 -4.131 1.038
3.749 -0.185 2.799
Mn Ga V
4 1 1
Direct
0.626 0.626 0.123
0.626 0.123 0.626
0.626 0.626 0.626
0.123 0.626 0.626
0.000 0.000 0.000
0.250 0.250 0.250
```

***

No. 4
# YMg2Co

A geometry-optimized YMg2Co structure (PBE-GGA, the Alexandria database).

Properties
ΔH_f (0 K) = -0.106 eV per atom

```
YMg2Co
1.0
-5.149 1.002 0.445
-2.978 -3.998 2.103
-0.496 0.430 7.076
Y Mg Co
2 4 2
Direct
0.250 0.176 0.648
0.750 0.824 0.352
0.590 0.403 0.823
0.910 0.773 0.823
0.410 0.597 0.177
0.090 0.227 0.177
0.250 0.749 0.502
0.750 0.251 0.498
```

***

No. 5
# LaErPt2

A geometry-optimized LaErPt2 structure (PBE-GGA, the Alexandria database).

Properties
ΔH_f (0 K) = -1.162 eV per atom
Distance to the lowest polymorph of the same formula = 72 meV per atom

```
LaErPt2
1.0
-1.159 3.001 -1.459
-2.995 -1.616 -0.944
-3.009 1.899 6.296
La Pt Er
1 2 1
Direct
0.500 0.500 0.500
0.000 0.000 0.776
0.000 0.000 0.224
0.500 0.500 0.000
```

***

No. 6
# Y3Hg

A geometry-optimized Y3Hg structure (PBE-GGA, the Alexandria database).

Properties
ΔH_f (0 K) = -0.158 eV per atom

```
Y3Hg
1.0
-2.115 2.165 2.166
-1.060 -3.489 -0.745
5.056 -3.293 8.227
Hg Y
1 3
Direct
0.000 0.000 0.000
0.000 0.000 0.500
0.333 0.667 0.226
0.333 0.667 0.774
```

***

No. 7
# Pr3CdPd3

A geometry-optimized Pr3CdPd3 structure (PBE-GGA, the Alexandria database).

Properties
ΔH_f (0 K) = -0.551 eV per atom

```
Pr3CdPd3
1.0
-1.836 6.326 2.530
-6.206 -2.324 -2.422
-1.160 -3.107 6.450
Pr Cd Pd
6 2 6
Direct
0.644 0.644 0.357
0.167 0.833 0.500
0.833 0.167 0.500
0.250 0.750 0.000
0.750 0.250 0.000
0.356 0.356 0.643
0.725 0.725 0.867
0.275 0.275 0.133
0.931 0.931 0.180
0.969 0.508 0.711
0.508 0.969 0.711
0.031 0.492 0.289
0.492 0.031 0.289
0.069 0.069 0.820
```

***

No. 8
# ScMn2Cr

A geometry-optimized ScMn2Cr structure (PBE-GGA, the Alexandria database).

Properties
ΔH_f (0 K) = 0.218 eV per atom
Distance to the lowest polymorph of the same formula = 158 meV per atom

```
ScMn2Cr
1.0
4.910 0.012 -0.014
4.004 2.842 -0.014
2.004 0.642 3.896
Cr Mn Sc
1 2 1
Direct
0.750 0.750 0.750
0.020 0.020 0.979
0.480 0.480 0.521
0.250 0.250 0.250
```

***

Number 1: final energy -5.8454 eV/atom. Number 2: final energy -4.3810 eV/atom. Number 3: final energy -8.1703 eV/atom. Number 4: final energy -4.2962 eV/atom. Number 5: final energy -6.5552 eV/atom. Number 6: final energy -5.0816 eV/atom. Number 7: final energy -4.9556 eV/atom. Number 8: final energy -8.3557 eV/atom.